# FeAu2Br (PBE-GGA, optimized geometry)
# **E**: -3.734 eV/atom
# **ΔE to the lowest computed polymorph**: 1.20 eV per formula unit
# **D(E_F)**: 0.9195 states/eV per atom
data_FeAu2Br
_cell_length_a 5.398
_cell_length_b 11.610
_cell_length_c 3.288
_cell_angle_alpha 90.00
_cell_angle_beta 127.39
_cell_angle_gamma 90.00
_space_group_name_H-M_alt 'C 1 2/m 1'
_space_group_IT_number 12
_space_group_name_Hall '-C 2y'
loop_
_atom_site_label
_atom_site_type_symbol
_atom_site_fract_x
_atom_site_fract_y
_atom_site_fract_z
Fe1 Fe 0.000 0.000 0.000
Au1 Au 0.250 0.250 0.000
Br1 Br 0.000 0.500 0.000